This record from Alexandria describes a geometry-optimized RuW3 structure. The functional is PBE-GGA. Values from VASP.

Geometry as Quantum ESPRESSO input:
```
&SYSTEM
  ibrav = 0, nat = 4, ntyp = 2
/
ATOMIC_SPECIES
Ru 101.07 Ru.upf
W 183.84 W.upf
CELL_PARAMETERS angstrom
-0.367 2.626 1.693
-2.101 -2.340 3.172
3.907 -0.760 2.026
ATOMIC_POSITIONS crystal
Ru 0.000 0.000 0.918
W 0.500 0.000 0.416
W 0.500 0.500 0.916
W 0.000 0.500 0.417
```

Properties
calculated formation energy: 0.17 eV per atom


This record from Alexandria describes a geometry-optimized AcZnIn2Ir2 structure. The functional is PBE-GGA. Values from VASP.

Geometry as Quantum ESPRESSO input:
```
&SYSTEM
  ibrav = 0, nat = 6, ntyp = 4
/
ATOMIC_SPECIES
Ac 227.00 Ac.upf
Zn 65.41 Zn.upf
In 114.82 In.upf
Ir 192.22 Ir.upf
CELL_PARAMETERS angstrom
-0.106 1.952 -4.340
-2.963 -3.424 -1.467
-4.747 3.403 1.647
ATOMIC_POSITIONS crystal
Ac 0.000 0.000 0.500
Zn 0.000 0.000 0.000
In 0.500 0.500 0.746
In 0.500 0.500 0.254
Ir 0.500 0.000 0.000
Ir 0.000 0.500 0.000
```

Properties
calculated formation energy: -0.15 eV per atom


This record from Alexandria describes a geometry-optimized CsCa3In structure. The functional is PBE-GGA. Values from VASP.

Geometry as Quantum ESPRESSO input:
```
&SYSTEM
  ibrav = 0, nat = 5, ntyp = 3
/
ATOMIC_SPECIES
Cs 132.91 Cs.upf
Ca 40.08 Ca.upf
In 114.82 In.upf
CELL_PARAMETERS angstrom
-5.143 -0.066 3.594
-3.288 -2.448 -4.750
1.453 -5.777 1.972
ATOMIC_POSITIONS crystal
Cs 0.500 0.500 0.500
Ca 0.000 0.500 0.000
Ca 0.000 0.000 0.500
Ca 0.500 0.000 0.000
In 0.000 0.000 0.000
```

Properties
calculated formation energy: 0.00 eV per atom
distance to the lowest polymorph of the same formula: 0 meV/atom


This record from Alexandria describes a geometry-optimized KTcPt2 structure. The functional is PBE-GGA. Values from VASP.

Geometry as Quantum ESPRESSO input:
```
&SYSTEM
  ibrav = 0, nat = 8, ntyp = 3
/
ATOMIC_SPECIES
K 39.10 K.upf
Tc 98.00 Tc.upf
Pt 195.08 Pt.upf
CELL_PARAMETERS angstrom
-4.250 3.296 5.546
-6.223 -3.844 -2.485
-4.439 -3.014 3.770
ATOMIC_POSITIONS crystal
K 0.500 0.500 0.000
K 0.250 0.750 0.500
Tc 0.000 0.000 0.000
Tc 0.750 0.250 0.500
Pt 0.732 0.125 0.250
Pt 0.018 0.625 0.250
Pt 0.375 0.268 0.750
Pt 0.875 0.982 0.750
```

Properties
calculated formation energy: 0.71 eV per atom
distance to the lowest polymorph of the same formula: 629 meV/atom


This record from Alexandria describes a geometry-optimized Ag2RuSeCl structure. The functional is PBE-GGA. Values from VASP.

Geometry as Quantum ESPRESSO input:
```
&SYSTEM
  ibrav = 0, nat = 5, ntyp = 4
/
ATOMIC_SPECIES
Ru 101.07 Ru.upf
Se 78.96 Se.upf
Ag 107.87 Ag.upf
Cl 35.45 Cl.upf
CELL_PARAMETERS angstrom
-2.296 2.985 3.241
-2.197 -3.943 2.075
3.458 -0.430 2.846
ATOMIC_POSITIONS crystal
Ru 0.000 0.000 0.500
Se 0.500 0.500 0.500
Ag 0.000 0.500 0.000
Ag 0.500 0.000 0.000
Cl 0.000 0.000 0.000
```

Properties
raw formation energy: 848 meV per atom


This record from Alexandria describes a geometry-optimized K3Li2Nb5O15 structure. The functional is PBE-GGA. Values from VASP.

Geometry as Quantum ESPRESSO input:
```
&SYSTEM
  ibrav = 0, nat = 50, ntyp = 4
/
ATOMIC_SPECIES
K 39.10 K.upf
Li 6.94 Li.upf
Nb 92.91 Nb.upf
O 16.00 O.upf
CELL_PARAMETERS angstrom
-0.406 -4.156 0.833
2.058 -2.654 -12.236
12.462 -0.764 2.261
ATOMIC_POSITIONS crystal
K 0.501 0.000 0.000
K 0.514 0.672 0.172
K 0.514 0.172 0.328
K 0.501 0.500 0.500
K 0.514 0.828 0.672
K 0.514 0.328 0.828
Li 0.574 0.376 0.124
Li 0.574 0.876 0.376
Li 0.574 0.124 0.624
Li 0.574 0.624 0.876
Nb 0.011 0.500 0.000
Nb 0.017 0.208 0.076
Nb 0.017 0.924 0.208
Nb 0.017 0.424 0.292
Nb 0.017 0.708 0.424
Nb 0.011 0.000 0.500
Nb 0.017 0.292 0.576
Nb 0.017 0.576 0.708
Nb 0.017 0.076 0.792
Nb 0.017 0.792 0.924
O 0.448 0.500 0.000
O 0.928 0.346 0.003
O 0.963 0.859 0.069
O 0.450 0.217 0.080
O 0.963 0.069 0.141
O 0.928 0.497 0.154
O 0.942 0.289 0.211
O 0.450 0.920 0.217
O 0.450 0.420 0.283
O 0.942 0.789 0.289
O 0.928 0.997 0.346
O 0.963 0.569 0.359
O 0.450 0.717 0.420
O 0.963 0.359 0.431
O 0.928 0.846 0.497
O 0.448 0.000 0.500
O 0.928 0.154 0.503
O 0.963 0.641 0.569
O 0.450 0.283 0.580
O 0.963 0.431 0.641
O 0.928 0.003 0.654
O 0.942 0.211 0.711
O 0.450 0.580 0.717
O 0.450 0.080 0.783
O 0.942 0.711 0.789
O 0.928 0.503 0.846
O 0.963 0.931 0.859
O 0.450 0.783 0.920
O 0.963 0.141 0.931
O 0.928 0.654 0.997
```

Properties
raw formation energy: -2457 meV per atom


This record from Alexandria describes a geometry-optimized Pr3MgPb5 structure. The functional is PBE-GGA. Values from VASP.

Geometry as Quantum ESPRESSO input:
```
&SYSTEM
  ibrav = 0, nat = 18, ntyp = 3
/
ATOMIC_SPECIES
Pr 140.91 Pr.upf
Mg 24.30 Mg.upf
Pb 207.20 Pb.upf
CELL_PARAMETERS angstrom
-6.072 1.736 -1.811
-1.891 -9.192 -2.468
-1.814 3.072 9.024
ATOMIC_POSITIONS crystal
Pr 0.750 0.377 0.000
Pr 0.750 0.623 0.623
Pr 0.750 0.000 0.377
Pr 0.250 0.623 0.000
Pr 0.250 0.377 0.377
Pr 0.250 0.000 0.623
Mg 0.000 0.000 0.000
Mg 0.500 0.000 0.000
Pb 0.000 0.333 0.667
Pb 0.500 0.667 0.333
Pb 0.000 0.667 0.333
Pb 0.500 0.333 0.667
Pb 0.750 0.720 0.000
Pb 0.750 0.280 0.280
Pb 0.750 0.000 0.720
Pb 0.250 0.280 0.000
Pb 0.250 0.720 0.720
Pb 0.250 0.000 0.280
```

Properties
calculated formation energy: -0.40 eV per atom


This record from Alexandria describes a geometry-optimized Mg3Ti4 structure. The functional is PBE-GGA. Values from VASP.

Geometry as Quantum ESPRESSO input:
```
&SYSTEM
  ibrav = 0, nat = 14, ntyp = 2
/
ATOMIC_SPECIES
Mg 24.30 Mg.upf
Ti 47.87 Ti.upf
CELL_PARAMETERS angstrom
-6.090 3.572 -3.862
-1.504 -5.648 5.532
-0.172 3.317 3.340
ATOMIC_POSITIONS crystal
Mg 0.752 0.806 0.250
Mg 0.248 0.194 0.750
Mg 0.946 0.752 0.750
Mg 0.194 0.946 0.250
Mg 0.806 0.054 0.750
Mg 0.054 0.248 0.250
Ti 0.513 0.619 0.750
Ti 0.487 0.381 0.250
Ti 0.667 0.333 0.750
Ti 0.894 0.513 0.250
Ti 0.381 0.894 0.750
Ti 0.619 0.106 0.250
Ti 0.106 0.487 0.750
Ti 0.333 0.667 0.250
```

Properties
calculated formation energy: 0.12 eV per atom
distance to the lowest polymorph of the same formula: 0 meV/atom


This record from Alexandria describes a geometry-optimized Cd2Ru structure. The functional is PBE-GGA. Values from VASP.

Geometry as Quantum ESPRESSO input:
```
&SYSTEM
  ibrav = 0, nat = 6, ntyp = 2
/
ATOMIC_SPECIES
Cd 112.41 Cd.upf
Ru 101.07 Ru.upf
CELL_PARAMETERS angstrom
1.510 -8.064 0.000
1.510 8.064 0.000
0.000 0.000 4.625
ATOMIC_POSITIONS crystal
Cd 0.601 0.399 0.750
Cd 0.399 0.601 0.250
Cd 0.294 0.706 0.750
Cd 0.706 0.294 0.250
Ru 0.955 0.045 0.750
Ru 0.045 0.955 0.250
```

Properties
calculated formation energy: 0.29 eV per atom


This record from Alexandria describes a geometry-optimized Li3Sc structure. The functional is PBE-GGA. Values from VASP.

Geometry as Quantum ESPRESSO input:
```
&SYSTEM
  ibrav = 0, nat = 4, ntyp = 2
/
ATOMIC_SPECIES
Li 6.94 Li.upf
Sc 44.96 Sc.upf
CELL_PARAMETERS angstrom
-0.997 -4.986 -1.974
1.597 -4.016 3.328
-2.988 4.519 0.635
ATOMIC_POSITIONS crystal
Li 0.250 0.750 0.500
Li 0.500 0.500 0.000
Li 0.750 0.250 0.500
Sc 0.000 0.000 0.000
```

Properties
calculated formation energy: 0.21 eV per atom
distance to the lowest polymorph of the same formula: 108 meV/atom


This record from Alexandria describes a geometry-optimized AcDyAgSb structure. The functional is PBE-GGA. Values from VASP.

Geometry as Quantum ESPRESSO input:
```
&SYSTEM
  ibrav = 0, nat = 4, ntyp = 4
/
ATOMIC_SPECIES
Sb 121.76 Sb.upf
Ac 227.00 Ac.upf
Ag 107.87 Ag.upf
Dy 162.50 Dy.upf
CELL_PARAMETERS angstrom
5.478 0.000 0.000
2.739 4.744 0.000
2.739 1.581 4.473
ATOMIC_POSITIONS crystal
Sb 0.750 0.750 0.750
Ac 0.500 0.500 0.500
Ag 0.250 0.250 0.250
Dy 0.000 0.000 0.000
```

Properties
raw formation energy: -498 meV per atom


This record from Alexandria describes a geometry-optimized Sm5Co2Au2 structure. The functional is PBE-GGA. Values from VASP.

Geometry as Quantum ESPRESSO input:
```
&SYSTEM
  ibrav = 0, nat = 18, ntyp = 3
/
ATOMIC_SPECIES
Sm 150.36 Sm.upf
Co 58.93 Co.upf
Au 196.97 Au.upf
CELL_PARAMETERS angstrom
6.979 0.000 2.533
0.000 7.474 0.000
0.782 0.000 8.727
ATOMIC_POSITIONS crystal
Sm 0.000 0.000 0.000
Sm 0.500 0.500 0.000
Sm 0.450 0.178 0.743
Sm 0.807 0.822 0.743
Sm 0.307 0.678 0.743
Sm 0.950 0.322 0.743
Sm 0.550 0.822 0.257
Sm 0.193 0.178 0.257
Sm 0.693 0.322 0.257
Sm 0.050 0.678 0.257
Co 0.108 0.390 0.000
Co 0.892 0.610 0.000
Co 0.392 0.890 0.000
Co 0.608 0.110 0.000
Au 0.213 0.000 0.574
Au 0.713 0.500 0.574
Au 0.787 0.000 0.426
Au 0.287 0.500 0.426
```

Properties
calculated formation energy: -0.40 eV per atom


This record from Alexandria describes a geometry-optimized SnAsWBr2 structure. The functional is PBE-GGA. Values from VASP.

Geometry as Quantum ESPRESSO input:
```
&SYSTEM
  ibrav = 0, nat = 5, ntyp = 4
/
ATOMIC_SPECIES
As 74.92 As.upf
Br 79.90 Br.upf
Sn 118.71 Sn.upf
W 183.84 W.upf
CELL_PARAMETERS angstrom
5.376 0.000 0.000
0.000 5.376 0.000
0.000 0.000 5.572
ATOMIC_POSITIONS crystal
As 0.000 0.000 0.500
Br 0.000 0.500 0.000
Br 0.500 0.000 0.000
Sn 0.000 0.000 0.000
W 0.500 0.500 0.500
```

Properties
distance to the lowest polymorph of the same formula: 818 meV/atom
raw formation energy: 1316 meV per atom


This record from Alexandria describes a geometry-optimized Ho3Er4Tm8 structure. The functional is PBE-GGA. Values from VASP.

Geometry as Quantum ESPRESSO input:
```
&SYSTEM
  ibrav = 0, nat = 15, ntyp = 3
/
ATOMIC_SPECIES
Ho 164.93 Ho.upf
Er 167.26 Er.upf
Tm 168.93 Tm.upf
CELL_PARAMETERS angstrom
-4.026 5.447 -0.736
-6.769 -0.695 0.347
-3.201 3.419 11.280
ATOMIC_POSITIONS crystal
Ho 0.500 0.000 0.500
Ho 0.000 0.000 0.500
Ho 0.000 0.500 0.500
Er 0.000 0.000 0.000
Er 0.336 0.336 0.991
Er 0.500 0.500 0.500
Er 0.664 0.664 0.009
Tm 0.245 0.245 0.265
Tm 0.248 0.750 0.251
Tm 0.750 0.750 0.251
Tm 0.750 0.248 0.251
Tm 0.755 0.755 0.735
Tm 0.752 0.250 0.749
Tm 0.250 0.250 0.749
Tm 0.250 0.752 0.749
```

Properties
calculated formation energy: 0.15 eV per atom
distance to the lowest polymorph of the same formula: 0 meV/atom


Ordered VASP energy results: -11.86, -4.91, -1.92, -5.18, -3.21, -7.73, -4.23, -5.08, -3.42, -2.81, -4.42, -5.33, -3.67, -4.37; unit eV per atom.